DFT (GGA-PBE) results for a geometry-optimized LiTePd4 structure.

Output
- polymorph energy (0 for the lowest one) (eV per atom) = 0.492
- raw formation energy (meV per atom) = 108.1
- calculated total energy (eV/atom) = -4.1964

Lattice parameters (Å, degrees): 6.759 6.759 6.759 103.79 103.79 121.55
Sites, in units of the cell vectors:
Pd: 0.777 0.462 0.685
Pd: 0.209 0.955 0.746
Pd: 0.705 0.459 0.246
Pd: 0.777 0.091 0.315
Pd: 0.841 0.027 0.815
Li: 0.317 0.317 0.000
Te: 0.461 0.961 0.500
Pd: 0.213 0.459 0.754
Li: 0.067 0.567 0.500
Pd: 0.209 0.463 0.254
Te: 0.711 0.711 0.000
Pd: 0.212 0.027 0.185